Record 1
Entry from Alexandria: a geometry-optimized Nd5Dy2YHo structure (PBE-GGA).

## Properties
E_form = 0.15 eV/atom
SG = Cmc2_1 (36)
Calculated total energy = -4.752 eV/atom
Calculated density = 7.0 g cm⁻³
Total moment = 0.0 μB per cell

a b c (Å): 5.6655 10.6373 10.6837
angles (deg): 90.00 90.00 105.44
Element x y z (fractional)
1 Nd 0.5173 0.0345 0.2442
2 Nd 0.7213 0.4426 0.8126
3 Nd 0.2787 0.5574 0.3126
4 Nd 0.6153 0.2306 0.5218
5 Nd 0.0153 0.0306 0.0169
6 Nd 0.2968 0.5935 0.7076
7 Nd 0.4827 0.9655 0.7442
8 Nd 0.3847 0.7694 0.0218
9 Nd 0.9847 0.9694 0.5169
10 Nd 0.7032 0.4065 0.2076
11 Dy 0.1148 0.2296 0.3094
12 Dy 0.1130 0.2260 0.7380
13 Dy 0.8852 0.7704 0.8094
14 Dy 0.8870 0.7740 0.2380
15 Y 0.5929 0.1858 0.9625
16 Y 0.4071 0.8142 0.4625
17 Ho 0.1991 0.3982 0.0109
18 Ho 0.8009 0.6018 0.5109

Record 2
Entry from Alexandria: a geometry-optimized Nd2Dy3Y6Ho structure (PBE-GGA).

## Properties
E_form = 0.02 eV/atom
SG = C2/m (12)
Calculated total energy = -5.540 eV/atom
Calculated density = 6.3 g cm⁻³
Total moment = 0.0 μB per cell

a b c (Å): 6.1975 6.1975 11.8433
angles (deg): 94.98 94.98 119.96
Element x y z (fractional)
1 Ho 0.0000 0.0000 0.0000
2 Y 0.7518 0.7518 0.2525
3 Y 0.4169 0.0842 0.2522
4 Y 0.5831 0.9158 0.7478
5 Y 0.0842 0.4169 0.2522
6 Y 0.2482 0.2482 0.7475
7 Y 0.9158 0.5831 0.7478
8 Nd 0.6666 0.3334 0.0000
9 Nd 0.3334 0.6666 0.0000
10 Dy 0.8335 0.1665 0.5000
11 Dy 0.1665 0.8335 0.5000
12 Dy 0.5000 0.5000 0.5000

Record 3
Entry from Alexandria: a geometry-optimized Nd6DyY2Ho structure (PBE-GGA).

## Properties
E_form = 0.12 eV/atom
SG = C2/c (15)
Calculated total energy = -4.954 eV/atom
Calculated density = 6.6 g cm⁻³
Total moment = 0.0 μB per cell

a b c (Å): 9.6026 8.9891 8.9891
angles (deg): 117.32 93.44 93.44
Element x y z (fractional)
1 Nd 0.3833 0.5155 0.2925
2 Nd 0.8833 0.2925 0.5155
3 Nd 0.9439 0.8840 0.2361
4 Nd 0.1167 0.7075 0.4845
5 Nd 0.0561 0.1160 0.7639
6 Nd 0.3117 0.9917 0.4367
7 Nd 0.8117 0.4367 0.9917
8 Nd 0.6883 0.0083 0.5633
9 Nd 0.5561 0.7639 0.1160
10 Nd 0.6167 0.4845 0.7075
11 Nd 0.1883 0.5633 0.0083
12 Nd 0.4439 0.2361 0.8840
13 Ho 0.7500 0.5887 0.4113
14 Ho 0.2500 0.4113 0.5887
15 Y 0.4523 0.7982 0.7027
16 Y 0.0477 0.2973 0.2018
17 Y 0.5477 0.2018 0.2973
18 Y 0.9523 0.7027 0.7982
19 Dy 0.7500 0.0307 0.9693
20 Dy 0.2500 0.9693 0.0307